The following is a PBE calculation of an optimized crystal structure of Li2ScInSi, from the Alexandria database.

Summary:
E_form (uncorrected) (eV/atom): 0.80
Total moment (μB per formula unit): 0.0
Calculated total energy (eV per atom): -2.86

```
Li2ScInSi
1.0
5.5525 0.0000 0.0000
0.0000 5.5525 0.0000
0.0000 0.0000 6.1397
Li Sc In Si
2 1 1 1
direct
0.0000 0.5000 0.0000 Li
0.5000 0.0000 0.0000 Li
0.0000 0.0000 0.5000 Sc
0.0000 0.0000 0.0000 In
0.5000 0.5000 0.5000 Si
```